Record 1
VASP calculation (PBE-GGA) on a relaxed Ta2W crystal.

Calculated values
Total magnetization: 0.0 μB/f.u.
Space-group type: No. 123
Energy relative to the elements: 735 meV/atom
Energy relative to the lowest polymorph listed for this composition: 814 meV/atom

Cell lengths 4.403, 4.403, 3.179 Å; angles 90.00, 90.00, 90.00 degrees
Fractional positions:
W: 0.000 0.000 0.000
Ta: 0.000 0.500 0.500
Ta: 0.500 0.000 0.500



Record 2
VASP calculation (PBE-GGA) on a relaxed GeBrF3 crystal.

Calculated values
Total magnetization: 0.1 μB/f.u.
ΔE_f (raw): -1911.0 meV/atom
Space-group type: No. 31
Energy relative to the lowest polymorph listed for this composition: 8 meV/atom

Cell lengths 5.002, 6.111, 7.410 Å; angles 89.99, 89.99, 90.02 degrees
Site moments in Bohr magnetons follow the coordinates.
Fractional positions:
F: 0.936 0.782 0.701  0.00
F: 0.435 0.571 0.201  0.00
F: 0.901 0.502 0.385  0.00
F: 0.900 0.502 0.017  0.00
F: 0.401 0.851 0.885  0.00
F: 0.401 0.851 0.516  0.00
Br: 0.871 0.998 0.201  0.06
Br: 0.371 0.355 0.701  0.06
Ge: 0.271 0.712 0.701  0.00
Ge: 0.770 0.641 0.201  0.00